A relaxed KSmSnS3 crystal. Source: Alexandria via LeMat-Bulk, functional PBE.

Uncorrected formation energy (eV/f.u.): -7.469
Space group: Cmcm (63)
Energy (hartree per atom): -0.1817

Cell: 8.6210 8.6210 11.3986 Å, 90.00 90.00 152.71°
With the nearest neighbours (Å) after each atom.
Atoms (fractional coordinates):
K 0.1702 0.8298 0.7500  2 S 3.06
K 0.8298 0.1702 0.2500  2 S 3.06
Sm 0.5000 0.5000 0.0000  6 S 2.78-2.86
Sm 0.5000 0.5000 0.5000  6 S 2.78-2.86
Sn 0.1205 0.8795 0.2500  4 S 2.69-2.79
Sn 0.8795 0.1205 0.7500  4 S 2.69-2.79
S 0.1128 0.8872 0.0051  2 Sm 2.78, 1 Sn 2.79, 1 K 3.06
S 0.1128 0.8872 0.4949  2 Sm 2.78, 1 Sn 2.79, 1 K 3.06
S 0.4844 0.5156 0.7500  2 Sn 2.69, 2 Sm 2.86
S 0.5156 0.4844 0.2500  2 Sn 2.69, 2 Sm 2.86
S 0.8872 0.1128 0.5051  2 Sm 2.78, 1 Sn 2.79, 1 K 3.06
S 0.8872 0.1128 0.9949  2 Sm 2.78, 1 Sn 2.79, 1 K 3.06

***

A relaxed K3Sm3SnS8 crystal. Source: Alexandria via LeMat-Bulk, functional PBE.

Uncorrected formation energy (eV/f.u.): -23.206
Space group: R-3m (166)
Energy (hartree per atom): -0.1903

Cell: 8.8758 8.8758 8.8758 Å, 54.41 54.41 54.41°
With the nearest neighbours (Å) after each atom.
Atoms (fractional coordinates):
K 0.0000 0.5000 0.5000  6 S 3.23-3.24
K 0.5000 0.0000 0.5000  6 S 3.23-3.24
K 0.5000 0.5000 0.0000  6 S 3.23-3.24
Sm 0.0000 0.0000 0.5000  6 S 2.80-2.84
Sm 0.0000 0.5000 0.0000  6 S 2.80-2.84
Sm 0.5000 0.0000 0.0000  6 S 2.80-2.84
Sn 0.5000 0.5000 0.5000  6 S 2.64
S 0.2345 0.2345 0.2345  3 Sm 2.80
S 0.2535 0.7212 0.7212  1 Sn 2.64, 2 Sm 2.84
S 0.2788 0.2788 0.7465  1 Sn 2.64, 2 Sm 2.84
S 0.2788 0.7465 0.2788  1 Sn 2.64, 2 Sm 2.84
S 0.7212 0.2535 0.7212  1 Sn 2.64, 2 Sm 2.84
S 0.7212 0.7212 0.2535  1 Sn 2.64, 2 Sm 2.84
S 0.7465 0.2788 0.2788  1 Sn 2.64, 2 Sm 2.84
S 0.7655 0.7655 0.7655  3 Sm 2.80

***

A relaxed K2Sm2TaS6 crystal. Source: Alexandria via LeMat-Bulk, functional PBE.

Uncorrected formation energy (eV/f.u.): -17.050
Space group: C2/m (12)
Energy (hartree per atom): -0.2182

Cell: 6.7698 6.7698 7.9103 Å, 98.67 98.67 119.22°
With the nearest neighbours (Å) after each atom.
Atoms (fractional coordinates):
K 0.1721 0.8279 0.0000  6 S 3.18-3.31
K 0.8279 0.1721 0.0000  6 S 3.18-3.31
Sm 0.3337 0.6663 0.5000  6 S 2.79-2.81
Sm 0.6663 0.3337 0.5000  6 S 2.79-2.81
Ta 0.0000 0.0000 0.5000  6 S 2.52-2.53
S 0.0679 0.3710 0.6961  1 Ta 2.53, 2 Sm 2.79-2.81
S 0.2318 0.2318 0.3050  1 Ta 2.52, 2 Sm 2.80
S 0.3710 0.0679 0.6961  1 Ta 2.53, 2 Sm 2.79-2.81
S 0.6290 0.9321 0.3039  1 Ta 2.53, 2 Sm 2.79-2.81
S 0.7682 0.7682 0.6950  1 Ta 2.52, 2 Sm 2.80
S 0.9321 0.6290 0.3039  1 Ta 2.53, 2 Sm 2.79-2.81

***

A relaxed K3Sm3TaS8 crystal. Source: Alexandria via LeMat-Bulk, functional PBE.

Uncorrected formation energy (eV/f.u.): -24.566
Space group: R-3m (166)
Energy (hartree per atom): -0.2129

Cell: 8.8412 8.8412 8.8412 Å, 53.73 53.73 53.73°
With the nearest neighbours (Å) after each atom.
Atoms (fractional coordinates):
K 0.0000 0.5000 0.5000  6 S 3.18-3.21
K 0.5000 0.0000 0.5000  6 S 3.18-3.21
K 0.5000 0.5000 0.0000  6 S 3.18-3.21
Sm 0.0000 0.0000 0.5000  6 S 2.79-2.82
Sm 0.0000 0.5000 0.0000  6 S 2.79-2.82
Sm 0.5000 0.0000 0.0000  6 S 2.79-2.82
Ta 0.5000 0.5000 0.5000  6 S 2.54
S 0.2364 0.2364 0.2364  3 Sm 2.79
S 0.2621 0.7146 0.7146  1 Ta 2.54, 2 Sm 2.82
S 0.2854 0.2854 0.7379  1 Ta 2.54, 2 Sm 2.82
S 0.2854 0.7379 0.2854  1 Ta 2.54, 2 Sm 2.82
S 0.7146 0.2621 0.7146  1 Ta 2.54, 2 Sm 2.82
S 0.7146 0.7146 0.2621  1 Ta 2.54, 2 Sm 2.82
S 0.7379 0.2854 0.2854  1 Ta 2.54, 2 Sm 2.82
S 0.7636 0.7636 0.7636  3 Sm 2.79

***

A relaxed KTbSm4S8 crystal. Source: Alexandria via LeMat-Bulk, functional PBE.

Uncorrected formation energy (eV/f.u.): -26.923
Space group: R3m (160)
Energy (hartree per atom): -0.2219

Cell: 8.3319 8.3319 8.3319 Å, 60.43 60.43 60.43°
With the nearest neighbours (Å) after each atom.
Atoms (fractional coordinates):
K 0.0000 0.0000 0.0000  4 S 2.89
Tb 0.6275 0.6275 0.6275  6 S 2.68-2.90
Sm 0.1104 0.6275 0.6275  6 S 2.73-2.93
Sm 0.2478 0.2478 0.2478  4 S 2.70-2.73
Sm 0.6275 0.1104 0.6275  6 S 2.73-2.93
Sm 0.6275 0.6275 0.1104  6 S 2.73-2.93
S 0.3808 0.3808 0.3808  4 Sm 2.70-2.93
S 0.3828 0.3827 0.8494  3 Sm 2.73-2.93, 1 Tb 2.90
S 0.3828 0.8494 0.3828  3 Sm 2.73-2.93, 1 Tb 2.90
S 0.4226 0.8543 0.8543  1 Tb 2.68, 2 Sm 2.73, 1 K 2.89
S 0.8494 0.3828 0.3827  3 Sm 2.73-2.93, 1 Tb 2.90
S 0.8543 0.4226 0.8543  1 Tb 2.68, 2 Sm 2.73, 1 K 2.89
S 0.8543 0.8543 0.4226  1 Tb 2.68, 2 Sm 2.73, 1 K 2.89
S 0.8577 0.8577 0.8577  3 Sm 2.73, 1 K 2.89

***

A relaxed K2TbSmS4 crystal. Source: Alexandria via LeMat-Bulk, functional PBE.

Uncorrected formation energy (eV/f.u.): -15.010
Space group: P2/m (10)
Energy (hartree per atom): -0.1978

Cell: 7.1141 4.1068 7.7520 Å, 90.00 107.78 90.00°
With the nearest neighbours (Å) after each atom.
Atoms (fractional coordinates):
K 0.0000 0.0000 0.0000  6 S 3.21
K 0.5000 0.5000 0.0000  6 S 3.24
Tb 0.0000 0.5000 0.5000  6 S 2.79
Sm 0.5000 0.0000 0.5000  6 S 2.82-2.83
S 0.2305 0.0000 0.7031  2 Tb 2.79, 1 Sm 2.83
S 0.2614 0.5000 0.2952  1 Tb 2.79, 2 Sm 2.82
S 0.7386 0.5000 0.7048  1 Tb 2.79, 2 Sm 2.82
S 0.7695 0.0000 0.2969  2 Tb 2.79, 1 Sm 2.83

***

A relaxed K3Tb2SmS6 crystal. Source: Alexandria via LeMat-Bulk, functional PBE.

Uncorrected formation energy (eV/f.u.): -22.563
Space group: C2/m (12)
Energy (hartree per atom): -0.1978

Cell: 7.0925 7.0925 7.7483 Å, 98.78 98.78 120.00°
With the nearest neighbours (Å) after each atom.
Atoms (fractional coordinates):
K 0.0000 0.0000 0.0000  6 S 3.20-3.23
K 0.3337 0.6663 0.0000  6 S 3.20-3.23
K 0.6663 0.3337 0.0000  6 S 3.20-3.23
Tb 0.1667 0.8333 0.5000  6 S 2.79
Tb 0.8333 0.1667 0.5000  6 S 2.79
Sm 0.5000 0.5000 0.5000  6 S 2.83
S 0.0947 0.4321 0.2965  2 Tb 2.79, 1 Sm 2.83
S 0.2303 0.2303 0.7035  2 Tb 2.79, 1 Sm 2.83
S 0.4321 0.0947 0.2965  2 Tb 2.79, 1 Sm 2.83
S 0.5679 0.9053 0.7035  2 Tb 2.79, 1 Sm 2.83
S 0.7697 0.7697 0.2965  2 Tb 2.79, 1 Sm 2.83
S 0.9053 0.5679 0.7035  2 Tb 2.79, 1 Sm 2.83

***

A relaxed K3TbSm2S6 crystal. Source: Alexandria via LeMat-Bulk, functional PBE.

Uncorrected formation energy (eV/f.u.): -22.477
Space group: C2/m (12)
Energy (hartree per atom): -0.1978

Cell: 7.1348 7.1348 7.7584 Å, 98.81 98.81 120.01°
With the nearest neighbours (Å) after each atom.
Atoms (fractional coordinates):
K 0.0000 0.0000 0.0000  6 S 3.22-3.25
K 0.3328 0.6672 0.0000  6 S 3.22-3.25
K 0.6672 0.3328 0.0000  6 S 3.22-3.25
Tb 0.5000 0.5000 0.5000  6 S 2.79
Sm 0.1666 0.8334 0.5000  6 S 2.83
Sm 0.8334 0.1666 0.5000  6 S 2.83
S 0.1027 0.4319 0.2956  1 Tb 2.79, 2 Sm 2.83
S 0.2390 0.2390 0.7044  1 Tb 2.79, 2 Sm 2.83
S 0.4319 0.1027 0.2956  1 Tb 2.79, 2 Sm 2.83
S 0.5681 0.8973 0.7044  1 Tb 2.79, 2 Sm 2.83
S 0.7610 0.7610 0.2956  1 Tb 2.79, 2 Sm 2.83
S 0.8973 0.5681 0.7044  1 Tb 2.79, 2 Sm 2.83

***

A relaxed K2SmTeS4 crystal. Source: Alexandria via LeMat-Bulk, functional PBE.

Uncorrected formation energy (eV/f.u.): -8.881
Space group: C2/c (15)
Energy (hartree per atom): -0.1628

Cell: 8.3323 8.3323 8.3484 Å, 117.14 117.14 89.89°
With the nearest neighbours (Å) after each atom.
Atoms (fractional coordinates):
K 0.0000 0.0000 0.0000  4 S 3.11
K 0.0000 0.0000 0.5000  4 S 3.11
K 0.0000 0.5000 0.0000  6 S 3.12-3.27
K 0.5000 0.0000 0.5000  6 S 3.12-3.27
Sm 0.5000 0.5000 0.0000  6 S 2.81-2.88
Sm 0.5000 0.5000 0.5000  6 S 2.81-2.88
Te 0.0000 0.5000 0.5000  4 S 2.64-2.74
Te 0.5000 0.0000 0.0000  4 S 2.64-2.74
S 0.2307 0.7052 0.4881  1 Te 2.64, 1 Sm 2.81
S 0.2659 0.3043 0.5513  1 Te 2.74, 2 Sm 2.84-2.88
S 0.2948 0.7693 0.0119  1 Te 2.64, 1 Sm 2.81
S 0.3043 0.2659 0.0513  1 Te 2.74, 2 Sm 2.84-2.88
S 0.6957 0.7341 0.9487  1 Te 2.74, 2 Sm 2.84-2.88
S 0.7052 0.2307 0.9881  1 Te 2.64, 1 Sm 2.81
S 0.7341 0.6957 0.4487  1 Te 2.74, 2 Sm 2.84-2.88
S 0.7693 0.2948 0.5119  1 Te 2.64, 1 Sm 2.81

***

A relaxed K3SmTh2S6 crystal. Source: Alexandria via LeMat-Bulk, functional PBE.

Uncorrected formation energy (eV/f.u.): -20.871
Space group: C2/m (12)
Energy (hartree per atom): -0.2097

Cell: 7.1277 7.1277 7.8373 Å, 98.72 98.72 119.99°
With the nearest neighbours (Å) after each atom.
Atoms (fractional coordinates):
K 0.0000 0.0000 0.0000  6 S 3.19-3.22
K 0.3343 0.6657 0.0000  6 S 3.20-3.22
K 0.6657 0.3343 0.0000  6 S 3.20-3.22
Sm 0.5000 0.5000 0.5000  6 S 2.87
Th 0.1667 0.8333 0.5000  6 S 2.84
Th 0.8333 0.1667 0.5000  6 S 2.84
S 0.0929 0.4295 0.2886  2 Th 2.84, 1 Sm 2.87
S 0.2340 0.2340 0.7115  2 Th 2.84, 1 Sm 2.87
S 0.4295 0.0929 0.2886  2 Th 2.84, 1 Sm 2.87
S 0.5705 0.9071 0.7114  2 Th 2.84, 1 Sm 2.87
S 0.7660 0.7660 0.2885  2 Th 2.84, 1 Sm 2.87
S 0.9071 0.5705 0.7114  2 Th 2.84, 1 Sm 2.87

***

A relaxed K2SmThS4 crystal. Source: Alexandria via LeMat-Bulk, functional PBE.

Uncorrected formation energy (eV/f.u.): -14.158
Space group: P2/m (10)
Energy (hartree per atom): -0.2067

Cell: 7.1360 4.1295 7.8027 Å, 90.00 107.69 90.00°
With the nearest neighbours (Å) after each atom.
Atoms (fractional coordinates):
K 0.0000 0.0000 0.0000  6 S 3.22-3.23
K 0.5000 0.5000 0.0000  6 S 3.20-3.21
Sm 0.0000 0.5000 0.5000  6 S 2.85-2.86
Th 0.5000 0.0000 0.5000  6 S 2.82-2.85
S 0.2394 0.0000 0.7092  1 Th 2.82, 2 Sm 2.85
S 0.2648 0.5000 0.2893  2 Th 2.85, 1 Sm 2.86
S 0.7352 0.5000 0.7107  2 Th 2.85, 1 Sm 2.86
S 0.7606 0.0000 0.2908  1 Th 2.82, 2 Sm 2.85

***

A relaxed K4SmTh3S8 crystal. Source: Alexandria via LeMat-Bulk, functional PBE.

Uncorrected formation energy (eV/f.u.): -27.546
Space group: R-3m (166)
Energy (hartree per atom): -0.2112

Cell: 8.8639 8.8639 8.8639 Å, 55.23 55.23 55.23°
With the nearest neighbours (Å) after each atom.
Atoms (fractional coordinates):
K 0.0000 0.0000 0.0000  6 S 3.20
K 0.0000 0.5000 0.5000  6 S 3.19-3.21
K 0.5000 0.0000 0.5000  6 S 3.19-3.21
K 0.5000 0.5000 0.0000  6 S 3.19-3.21
Sm 0.5000 0.5000 0.5000  6 S 2.86
Th 0.0000 0.0000 0.5000  6 S 2.85-2.86
Th 0.0000 0.5000 0.0000  6 S 2.85-2.86
Th 0.5000 0.0000 0.0000  6 S 2.85-2.86
S 0.2356 0.7380 0.7380  2 Th 2.85, 1 Sm 2.86
S 0.2381 0.2381 0.2381  3 Th 2.86, 3 K 3.19
S 0.2620 0.2620 0.7644  2 Th 2.85, 1 Sm 2.86
S 0.2620 0.7644 0.2620  2 Th 2.85, 1 Sm 2.86
S 0.7380 0.2356 0.7380  2 Th 2.85, 1 Sm 2.86
S 0.7380 0.7380 0.2356  2 Th 2.85, 1 Sm 2.86
S 0.7619 0.7619 0.7619  3 Th 2.86, 3 K 3.19
S 0.7644 0.2620 0.2620  2 Th 2.85, 1 Sm 2.86